(1)
DFT (PBE) results for crystalline Rb2AlMoBr6 at its relaxed geometry.

The space group is Fm-3m (No. 225) and the conventional cell measures 11.0858, 11.0858 and 11.0858 Å, with angles of 90.00, 90.00 and 90.00 degrees. The inequivalent atoms are Rb at (0.2500, 0.2500, 0.2500), Al at (0.0000, 0.0000, 0.0000), Mo at (0.0000, 0.0000, 0.5000) and Br at (0.0000, 0.0000, 0.2620).

The calculated volume comes out at 34.060 Å³ per atom. The value obtained for the uncorrected formation energy is -0.95 eV/atom.

=====

(2)
DFT (PBE) results for crystalline AcZnAgGe at its relaxed geometry.

The space group is F-43m (No. 216) and the conventional cell measures 7.2403, 7.2403 and 7.2403 Å, with angles of 90.00, 90.00 and 90.00 degrees. The inequivalent atoms are Ac at (0.0000, 0.0000, 0.0000), Zn at (0.2500, 0.2500, 0.7500), Ag at (0.0000, 0.0000, 0.5000) and Ge at (0.2500, 0.2500, 0.2500).

The calculated volume comes out at 23.722 Å³ per atom. The calculation puts the raw total energy at -0.1267 hartree per atom.

=====

(3)
DFT (PBE) results for crystalline BaPt2Pb at its relaxed geometry.

The space group is Pm (No. 6) and the conventional cell measures 4.8563, 4.4361 and 5.4895 Å, with angles of 90.00, 106.30 and 90.00 degrees. The inequivalent atoms are Ba at (0.0000, 0.0000, 0.0000), Pt at (0.5716, 0.5000, 0.1398), Pt at (0.5952, 0.0000, 0.4230) and Pb at (0.3677, 0.5000, 0.6132).

The calculated volume comes out at 28.377 Å³ per atom. The calculation puts the raw total energy at -0.1795 hartree per atom.

=====

(4)
DFT (PBE) results for crystalline Th2Fe at its relaxed geometry.

The space group is Fddd (No. 70, origin choice 2) and the conventional cell measures 5.5713, 10.4894 and 19.5874 Å, with angles of 90.00, 90.00 and 90.00 degrees. The inequivalent atoms are Th at (0.1250, 0.1250, 0.0387), Th at (0.1250, 0.2871, 0.6250) and Fe at (0.1250, 0.1250, 0.5025).

The calculated volume comes out at 23.848 Å³ per atom. The calculation puts the raw total energy at -0.2852 hartree per atom.

=====

(5)
DFT (PBE) results for crystalline ScMnGe2 at its relaxed geometry.

The space group is R-3m (No. 166, hexagonal axes) and the conventional cell measures 4.0461, 4.0461 and 14.5469 Å, with angles of 90.00, 90.00 and 120.00 degrees. The inequivalent atoms are Sc at (0.0000, 0.0000, 0.0000), Mn at (0.0000, 0.0000, 0.5000) and Ge at (0.0000, 0.0000, 0.2307).

The calculated volume comes out at 17.187 Å³ per atom. The calculation puts the raw total energy at -0.2416 hartree per atom.

=====

(6)
DFT (PBE) results for crystalline PmTlCo at its relaxed geometry.

The space group is C2/m (No. 12) and the conventional cell measures 12.9631, 4.0222 and 5.3212 Å, with angles of 90.00, 101.56 and 90.00 degrees. The inequivalent atoms are Pm at (0.1351, 0.0000, 0.3208), Tl at (0.0798, 0.5000, 0.7895) and Co at (0.2268, 0.0000, 0.8853).

The calculated volume comes out at 22.652 Å³ per atom. The calculation puts the raw total energy at -0.1794 hartree per atom.

=====

(7)
DFT (PBE) results for crystalline Cd2CoRe at its relaxed geometry.

The space group is P2/m (No. 10) and the conventional cell measures 2.7182, 4.6105 and 5.3311 Å, with angles of 90.00, 100.75 and 90.00 degrees. The inequivalent atoms are Cd at (0.1862, 0.0000, 0.2572), Co at (0.0000, 0.5000, 0.5000) and Re at (0.5000, 0.5000, 0.0000).

The calculated volume comes out at 16.409 Å³ per atom. The calculation puts the raw total energy at -0.1732 hartree per atom.

=====

(8)
DFT (PBE) results for crystalline NpIn2Br6 at its relaxed geometry.

The space group is P2_1/c (No. 14) and the conventional cell measures 7.6633, 8.3410 and 12.7782 Å, with angles of 90.00, 121.48 and 90.00 degrees. The inequivalent atoms are Np at (0.0000, 0.0000, 0.0000), In at (0.3102, 0.0950, 0.7743), Br at (0.1088, 0.0439, 0.2421), Br at (0.2355, 0.7238, 0.0669) and Br at (0.3423, 0.1762, 0.0436).

The calculated volume comes out at 38.697 Å³ per atom. The value obtained for the uncorrected formation energy is -1.02 eV/atom.

=====

(9)
DFT (PBE) results for crystalline K2TbH6 at its relaxed geometry.

The space group is Fm-3m (No. 225) and the conventional cell measures 8.7255, 8.7255 and 8.7255 Å, with angles of 90.00, 90.00 and 90.00 degrees. The inequivalent atoms are K at (0.2500, 0.2500, 0.2500), Tb at (0.0000, 0.0000, 0.0000) and H at (0.0000, 0.0000, 0.2466).

The calculated volume comes out at 18.453 Å³ per atom. The calculation puts the raw total energy at -0.1051 hartree per atom.

=====

(10)
DFT (PBE) results for crystalline SmAg2Au6 at its relaxed geometry.

The space group is Immm (No. 71) and the conventional cell measures 3.2399, 7.9899 and 14.0759 Å, with angles of 90.00, 90.00 and 90.00 degrees. The inequivalent atoms are Sm at (0.0000, 0.0000, 0.0000), Ag at (0.0000, 0.5000, 0.1478), Au at (0.0000, 0.1731, 0.5000) and Au at (0.0000, 0.3247, 0.3251).

The calculated volume comes out at 20.243 Å³ per atom. The calculation puts the raw total energy at -0.1307 hartree per atom.

=====

(11)
DFT (PBE) results for crystalline LiMg2AuO at its relaxed geometry.

The space group is P4/mmm (No. 123) and the conventional cell measures 4.2106, 4.2106 and 4.0840 Å, with angles of 90.00, 90.00 and 90.00 degrees. The inequivalent atoms are Li at (0.0000, 0.0000, 0.0000), Mg at (0.0000, 0.5000, 0.5000), Au at (0.5000, 0.5000, 0.0000) and O at (0.0000, 0.0000, 0.5000).

The calculated volume comes out at 14.481 Å³ per atom. The value obtained for the uncorrected formation energy is -1.25 eV/atom.

=====

(12)
DFT (PBE) results for crystalline MgSc2Zn6 at its relaxed geometry.

The space group is P6/mmm (No. 191) and the conventional cell measures 7.6254, 7.6254 and 3.0990 Å, with angles of 90.00, 90.00 and 120.00 degrees. The inequivalent atoms are Mg at (0.0000, 0.0000, 0.0000), Sc at (0.3333, 0.6667, 0.0000) and Zn at (0.0000, 0.3335, 0.5000).

The calculated volume comes out at 17.339 Å³ per atom. The calculation puts the raw total energy at -0.0996 hartree per atom.

=====

Q: What is the calculated volume in the first record?
A: 34.060 Å³ per atom

=====

Repeat the third record exactly.
DFT (PBE) results for crystalline BaPt2Pb at its relaxed geometry.

The space group is Pm (No. 6) and the conventional cell measures 4.8563, 4.4361 and 5.4895 Å, with angles of 90.00, 106.30 and 90.00 degrees. The inequivalent atoms are Ba at (0.0000, 0.0000, 0.0000), Pt at (0.5716, 0.5000, 0.1398), Pt at (0.5952, 0.0000, 0.4230) and Pb at (0.3677, 0.5000, 0.6132).

The calculated volume comes out at 28.377 Å³ per atom. The calculation puts the raw total energy at -0.1795 hartree per atom.